(1)
A geometry-optimized KOsAu structure. Source: the Open Quantum Materials Database, functional PBE.

Calculated values
DFT total energy = -3.5699 eV/atom
E above lowest polymorph = 0.000 eV/atom
Crystal system = cubic

Cell: 6.817 6.817 6.817 Å, 90.00 90.00 90.00°
Space group F-43m (No. 216)
Asymmetric unit:
K  0.000  0.000  0.000
Os  0.000  0.000  0.500
Au  0.250  0.250  0.250

(2)
A geometry-optimized KOsAu structure. Source: the Open Quantum Materials Database, functional PBE.

Calculated values
DFT total energy = -2.9125 eV/atom
E above lowest polymorph = 0.657 eV/atom
Crystal system = cubic

Cell: 7.110 7.110 7.110 Å, 90.00 90.00 90.00°
Space group F-43m (No. 216)
Asymmetric unit:
K  0.000  0.000  0.000
Os  0.250  0.250  0.250
Au  0.250  0.250  0.750

(3)
A geometry-optimized KOsAuSe2S structure. Source: the Open Quantum Materials Database, functional PBE.

Calculated values
DFT total energy = -4.5347 eV/atom
Crystal system = orthorhombic

Cell: 3.864 15.650 9.700 Å, 90.00 90.00 90.00°
Space group Cmcm (No. 63)
Asymmetric unit:
K  0.000  0.245  0.250
Os  0.000  0.500  0.000
Au  0.000  0.083  0.750
Se  0.000  0.106  0.501
S  0.000  0.449  0.750

(4)
A geometry-optimized KTeOsAuS2 structure. Source: the Open Quantum Materials Database, functional PBE.

Calculated values
DFT total energy = -4.6859 eV/atom
Crystal system = orthorhombic

Cell: 3.538 17.011 10.370 Å, 90.00 90.00 90.00°
Space group Cmcm (No. 63)
Asymmetric unit:
K  0.000  0.231  0.250
Te  0.000  0.445  0.750
Os  0.000  0.500  0.000
Au  0.000  0.109  0.750
S  0.000  0.094  0.526

(5)
A geometry-optimized KOsAu3Se4 structure. Source: the Open Quantum Materials Database, functional PBE.

Calculated values
DFT total energy = -3.9747 eV/atom
Crystal system = cubic

Cell: 6.521 6.521 6.521 Å, 90.00 90.00 90.00°
Space group P-43m (No. 215)
Asymmetric unit:
K  0.000  0.000  0.000
Os  0.500  0.500  0.500
Au  0.000  0.500  0.500
Se  0.289  0.289  0.289

(6)
A geometry-optimized KOsAuSe3 structure. Source: the Open Quantum Materials Database, functional PBE.

Calculated values
DFT total energy = -4.4678 eV/atom
Crystal system = orthorhombic

Cell: 3.845 15.824 10.053 Å, 90.00 90.00 90.00°
Space group Cmcm (No. 63)
Asymmetric unit:
K  0.000  0.244  0.250
Os  0.000  0.500  0.000
Au  0.000  0.084  0.750
Se  0.000  0.105  0.508
Se  0.000  0.444  0.750

(7)
A geometry-optimized KTe2OsAuSe structure. Source: the Open Quantum Materials Database, functional PBE.

Calculated values
DFT total energy = -4.2606 eV/atom
Crystal system = orthorhombic

Cell: 4.045 15.995 10.373 Å, 90.00 90.00 90.00°
Space group Cmcm (No. 63)
Asymmetric unit:
K  0.000  0.239  0.250
Te  0.000  0.388  0.506
Os  0.000  0.000  0.000
Au  0.000  0.435  0.750
Se  0.000  0.055  0.750

(8)
A geometry-optimized KTeOsAuSe2 structure. Source: the Open Quantum Materials Database, functional PBE.

Calculated values
DFT total energy = -4.4246 eV/atom
Crystal system = orthorhombic

Cell: 3.808 16.491 10.471 Å, 90.00 90.00 90.00°
Space group Cmcm (No. 63)
Asymmetric unit:
K  0.000  0.243  0.250
Te  0.000  0.444  0.750
Os  0.000  0.500  0.000
Au  0.000  0.094  0.750
Se  0.000  0.101  0.514

(9)
A geometry-optimized KTe3OsAu structure. Source: the Open Quantum Materials Database, functional PBE.

Calculated values
DFT total energy = -4.2373 eV/atom
Crystal system = orthorhombic

Cell: 4.054 16.302 10.804 Å, 90.00 90.00 90.00°
Space group Cmcm (No. 63)
Asymmetric unit:
K  0.000  0.244  0.250
Te  0.000  0.055  0.750
Te  0.000  0.391  0.511
Os  0.000  0.000  0.000
Au  0.000  0.423  0.750

(10)
A geometry-optimized KTe4OsAu3 structure. Source: the Open Quantum Materials Database, functional PBE.

Calculated values
DFT total energy = -3.7911 eV/atom
Crystal system = cubic

Cell: 6.834 6.834 6.834 Å, 90.00 90.00 90.00°
Space group P-43m (No. 215)
Asymmetric unit:
K  0.000  0.000  0.000
Te  0.286  0.286  0.286
Os  0.500  0.500  0.500
Au  0.000  0.500  0.500

(11)
A geometry-optimized KPAu2 structure. Source: the Open Quantum Materials Database, functional PBE.

Calculated values
DFT total energy = -3.6528 eV/atom
Crystal system = tetragonal

Cell: 5.903 5.903 14.648 Å, 90.00 90.00 90.00°
Space group I-42d (No. 122)
Asymmetric unit:
K  0.000  0.000  0.000
P  0.000  0.000  0.500
Au  0.023  0.750  0.625

(12)
A geometry-optimized KP5Au3 structure. Source: the Open Quantum Materials Database, functional PBE.

Calculated values
DFT total energy = -3.8832 eV/atom
Crystal system = hexagonal

Cell: 6.4240 6.4240 5.5807 Å, 90.00 90.00 120.00°
Space group P6/mmm (No. 191)
Asymmetric unit:
K  0.0000  0.0000  0.0000
P  0.0000  0.0000  0.5000
P  0.3333  0.6667  0.1860
Au  0.0000  0.5000  0.5000

(13)
A geometry-optimized KRbP2Au4 structure. Source: the Open Quantum Materials Database, functional PBE.

Calculated values
DFT total energy = -3.6492 eV/atom
Crystal system = tetragonal

Cell: 5.974 5.974 14.550 Å, 90.00 90.00 90.00°
Space group I-4 (No. 82)
Asymmetric unit:
K  0.000  0.000  0.000
Rb  0.000  0.500  0.750
P  0.000  0.000  0.500
P  0.000  0.500  0.250
Au  0.022  0.749  0.376

(14)
A geometry-optimized K3RbP2Au2 structure. Source: the Open Quantum Materials Database, functional PBE.

Calculated values
DFT total energy = -3.1807 eV/atom
Crystal system = monoclinic

Cell: 6.221 6.397 6.256 Å, 90.00 106.71 90.00°
Space group Pm (No. 6)
Asymmetric unit:
K  0.000  0.000  0.000
K  0.290  0.500  0.294
K  0.640  0.500  0.949
Rb  0.347  0.000  0.656
P  0.062  0.500  0.721
P  0.580  0.000  0.224
Au  0.816  0.251  0.474

(15)
A geometry-optimized K2RbP2Au3 structure. Source: the Open Quantum Materials Database, functional PBE.

Calculated values
DFT total energy = -3.4770 eV/atom
Crystal system = trigonal

Cell: 6.3134 6.3134 19.7216 Å, 90.00 90.00 120.00°
Space group R-3m (No. 166, hexagonal axes)
Asymmetric unit:
K  0.0000  0.0000  0.0882
Rb  0.0000  0.0000  0.5000
P  0.0000  0.0000  0.2527
Au  0.0000  0.5000  0.0000

(16)
A geometry-optimized KP2AuS7 structure. Source: the Open Quantum Materials Database, functional PBE.

Calculated values
DFT total energy = -4.3950 eV/atom
Crystal system = monoclinic

Cell: 7.952 9.451 15.263 Å, 90.00 91.21 90.00°
Space group C2/c (No. 15)
Asymmetric unit:
K  0.000  0.247  0.250
P  0.013  0.332  0.859
Au  0.250  0.250  0.500
S  0.000  0.188  0.750
S  0.032  0.194  0.964
S  0.195  0.469  0.842
S  0.222  0.417  0.616

(17)
A geometry-optimized KPAuSeS2 structure. Source: the Open Quantum Materials Database, functional PBE.

Calculated values
DFT total energy = -4.1271 eV/atom
Crystal system = monoclinic

Cell: 12.341 6.999 7.943 Å, 90.00 113.98 90.00°
Space group C2/m (No. 12)
Asymmetric unit:
K  0.203  0.000  0.226
P  0.026  0.500  0.155
Au  0.000  0.247  0.500
Se  0.216  0.500  0.300
S  0.060  0.254  0.818

(18)
A geometry-optimized KPAuSe2S structure. Source: the Open Quantum Materials Database, functional PBE.

Calculated values
DFT total energy = -3.9910 eV/atom
Crystal system = monoclinic

Cell: 12.329 7.271 8.221 Å, 90.00 115.08 90.00°
Space group C2/m (No. 12)
Asymmetric unit:
K  0.207  0.000  0.262
P  0.026  0.500  0.151
Au  0.000  0.240  0.500
Se  0.072  0.245  0.826
S  0.202  0.500  0.291

(19)
A geometry-optimized KPAu2Se3S structure. Source: the Open Quantum Materials Database, functional PBE.

Calculated values
DFT total energy = -3.7532 eV/atom
Crystal system = monoclinic

Cell: 9.219 9.117 6.516 Å, 90.00 132.47 90.00°
Space group Cm (No. 8)
Asymmetric unit:
K  0.000  0.000  0.000
P  0.054  0.500  0.044
Au  0.123  0.235  0.630
Se  0.040  0.500  0.381
Se  0.223  0.300  0.102
S  0.267  0.000  0.652

(20)
A geometry-optimized K3P2AuSe8 structure. Source: the Open Quantum Materials Database, functional PBE.

Calculated values
DFT total energy = -3.8019 eV/atom
Crystal system = monoclinic

Cell: 7.206 12.729 19.053 Å, 90.00 96.37 90.00°
Space group Cc (No. 9)
Asymmetric unit:
K  0.000  0.069  0.000
K  0.357  0.105  0.352
K  0.375  0.225  0.708
P  0.021  0.232  0.482
P  0.436  0.437  0.228
Au  0.071  0.450  0.606
Se  0.053  0.144  0.824
Se  0.125  0.046  0.185
Se  0.144  0.497  0.731
Se  0.291  0.332  0.047
Se  0.303  0.184  0.523
Se  0.392  0.281  0.165
Se  0.405  0.342  0.883
Se  0.487  0.090  0.981

(21)
A geometry-optimized KPbAu structure. Source: the Open Quantum Materials Database, functional PBE.

Calculated values
DFT total energy = -2.2487 eV/atom
Crystal system = cubic

Cell: 7.515 7.515 7.515 Å, 90.00 90.00 90.00°
Space group F-43m (No. 216)
Asymmetric unit:
K  0.000  0.000  0.000
Pb  0.250  0.250  0.250
Au  0.250  0.250  0.750

(22)
A geometry-optimized KPb2Au2 structure. Source: the Open Quantum Materials Database, functional PBE.

Calculated values
DFT total energy = -3.1921 eV/atom
Crystal system = tetragonal

Cell: 5.023 5.023 11.928 Å, 90.00 90.00 90.00°
Space group I4/mmm (No. 139)
Asymmetric unit:
K  0.000  0.000  0.000
Pb  0.000  0.500  0.250
Au  0.000  0.000  0.383